! KPuCu2Cl8, relaxed, DFT GGA-PBE; values from VASP
&SYSTEM
  ibrav = 0, nat = 12, ntyp = 4
/
ATOMIC_SPECIES
K 39.10 K.upf
Pu 244.00 Pu.upf
Cu 63.55 Cu.upf
Cl 35.45 Cl.upf
CELL_PARAMETERS angstrom
-4.5915 4.5915 3.9643
4.5915 -4.5915 3.9643
4.5915 4.5915 -3.9643
ATOMIC_POSITIONS crystal
K 0.0000 0.0000 0.0000
Pu 0.7500 0.2500 0.5000
Cu 0.2500 0.7500 0.5000
Cu 0.5000 0.5000 0.0000
Cl 0.0466 0.3740 0.3274
Cl 0.0466 0.7192 0.6726
Cl 0.1278 0.3343 0.7935
Cl 0.2808 0.9534 0.3274
Cl 0.5408 0.3343 0.2065
Cl 0.6260 0.9534 0.6726
Cl 0.6657 0.4592 0.7935
Cl 0.6657 0.8722 0.2065
! Energy in eV/atom: -4.375
! Uncorrected formation energy in kcal/mol of atoms: -27.11
! Density of states at the Fermi level in states/eV per cell: 19.64
! Space group: I-4m2